The following is a DFT calculation (PBE-GGA) of Ba4Na5Pd2 after structural relaxation.

a = 4.317 Å, b = 9.573 Å, c = 11.088 Å
α = 92.85°, β = 90.00°, γ = 90.00°
Atoms (fractional coordinates):
Na 0.000 0.454 0.671
Na 0.000 0.546 0.329
Na 0.000 0.180 0.148
Na 0.000 0.820 0.852
Na 0.000 0.500 0.000
Ba 0.500 0.842 0.174
Ba 0.500 0.158 0.826
Ba 0.500 0.801 0.555
Ba 0.500 0.199 0.445
Pd 0.000 0.049 0.628
Pd 0.000 0.951 0.372

Results
For the total magnetization, the calculation gives 0.00 Bohr magnetons per cell. The total energy comes out at -0.0898 hartree per atom.

=====

The following is a DFT calculation (PBE-GGA) of BaNa3Pd after structural relaxation.

a = 6.951 Å, b = 5.997 Å, c = 8.695 Å
α = 90.00°, β = 89.69°, γ = 89.99°
Atoms (fractional coordinates):
Na 0.942 0.556 0.910
Na 0.444 0.796 0.991
Na 0.370 0.337 0.201
Na 0.870 0.016 0.700
Na 0.442 0.797 0.411
Na 0.945 0.556 0.491
Ba 0.888 0.053 0.200
Ba 0.388 0.300 0.701
Pd 0.734 0.566 0.202
Pd 0.234 0.787 0.702

Results
For the total magnetization, the calculation gives 0.00 Bohr magnetons per cell. The total energy comes out at -0.0839 hartree per atom.

=====

The following is a DFT calculation (PBE-GGA) of BaNa2Pd after structural relaxation.

a = 4.704 Å, b = 6.120 Å, c = 9.734 Å
α = 90.00°, β = 90.00°, γ = 112.45°
Atoms (fractional coordinates):
Na 0.334 0.668 0.943
Na 0.666 0.332 0.443
Na 0.666 0.332 0.057
Na 0.334 0.668 0.557
Pd 0.245 0.490 0.250
Pd 0.755 0.510 0.750
Ba 0.947 0.893 0.250
Ba 0.053 0.107 0.750

Results
For the total magnetization, the calculation gives 0.00 Bohr magnetons per cell. The total energy comes out at -0.0963 hartree per atom.

=====

The following is a DFT calculation (PBE-GGA) of Ba9NaPd3 after structural relaxation.

a = 8.099 Å, b = 12.217 Å, c = 13.568 Å
α = 90.00°, β = 96.39°, γ = 90.00°
Atoms (fractional coordinates):
Ba 0.146 0.943 0.801
Ba 0.258 0.947 0.453
Ba 0.695 0.750 0.347
Ba 0.142 0.250 0.982
Ba 0.742 0.053 0.547
Ba 0.858 0.750 0.018
Ba 0.258 0.553 0.453
Ba 0.854 0.443 0.199
Ba 0.344 0.568 0.123
Ba 0.656 0.432 0.877
Ba 0.742 0.447 0.547
Ba 0.146 0.557 0.801
Ba 0.305 0.250 0.653
Ba 0.854 0.057 0.199
Ba 0.441 0.250 0.300
Ba 0.656 0.068 0.877
Ba 0.344 0.932 0.123
Ba 0.559 0.750 0.700
Pd 0.000 0.000 0.000
Pd 0.000 0.500 0.000
Pd 0.559 0.998 0.329
Pd 0.441 0.498 0.671
Pd 0.441 0.002 0.671
Pd 0.559 0.502 0.329
Na 0.984 0.750 0.592
Na 0.016 0.250 0.408

Results
For the total magnetization, the calculation gives 0.00 Bohr magnetons per cell. The total energy comes out at -0.1066 hartree per atom.

=====

The following is a DFT calculation (PBE-GGA) of BaNaPd4 after structural relaxation.

a = 5.589 Å, b = 5.589 Å, c = 5.589 Å
α = 60.00°, β = 60.00°, γ = 60.00°
Atoms (fractional coordinates):
Pd 0.124 0.625 0.625
Pd 0.625 0.625 0.625
Pd 0.625 0.625 0.124
Pd 0.625 0.124 0.625
Na 0.000 0.000 0.000
Ba 0.250 0.250 0.250

Results
For the total magnetization, the calculation gives 0.00 Bohr magnetons per cell. The total energy comes out at -0.1615 hartree per atom.

=====

The following is a DFT calculation (PBE-GGA) of Ba12NaPd4 after structural relaxation.

a = 10.466 Å, b = 10.466 Å, c = 10.466 Å
α = 109.47°, β = 109.47°, γ = 109.47°
Atoms (fractional coordinates):
Ba 0.816 0.306 0.122
Ba 0.816 0.694 0.510
Ba 0.306 0.122 0.816
Ba 0.122 0.816 0.306
Ba 0.878 0.184 0.694
Ba 0.510 0.816 0.694
Ba 0.306 0.490 0.184
Ba 0.184 0.306 0.490
Ba 0.184 0.694 0.878
Ba 0.490 0.184 0.306
Ba 0.694 0.878 0.184
Ba 0.694 0.510 0.816
Pd 0.500 0.000 0.000
Pd 0.000 0.000 0.500
Pd 0.000 0.500 0.000
Pd 0.500 0.500 0.500
Na 0.000 0.000 0.000

Results
For the total magnetization, the calculation gives 0.00 Bohr magnetons per cell. The total energy comes out at -0.1077 hartree per atom.

=====

The following is a DFT calculation (PBE-GGA) of BaNaPd3 after structural relaxation.

a = 4.941 Å, b = 4.941 Å, c = 4.941 Å
α = 90.00°, β = 90.00°, γ = 90.00°
Atoms (fractional coordinates):
Ba 0.500 0.500 0.500
Pd 0.000 0.000 0.500
Pd 0.000 0.500 0.000
Pd 0.500 0.000 0.000
Na 0.000 0.000 0.000

Results
For the total magnetization, the calculation gives 0.00 Bohr magnetons per cell. The total energy comes out at -0.1323 hartree per atom.

=====

The following is a DFT calculation (PBE-GGA) of BaNa2Pd after structural relaxation.

a = 4.577 Å, b = 4.577 Å, c = 12.862 Å
α = 79.75°, β = 79.75°, γ = 90.00°
Atoms (fractional coordinates):
Pd 0.250 0.750 0.500
Pd 0.500 0.500 0.000
Na 0.170 0.625 0.250
Na 0.580 0.125 0.250
Na 0.875 0.830 0.750
Na 0.375 0.420 0.750
Ba 0.000 0.000 0.000
Ba 0.750 0.250 0.500

Results
For the total magnetization, the calculation gives 0.00 Bohr magnetons per cell. The total energy comes out at -0.0925 hartree per atom.

=====

The following is a DFT calculation (PBE-GGA) of BaNa3Pd after structural relaxation.

a = 6.651 Å, b = 6.651 Å, c = 6.651 Å
α = 90.00°, β = 90.00°, γ = 90.00°
Atoms (fractional coordinates):
Pd 0.500 0.500 0.500
Ba 0.000 0.000 0.000
Na 0.000 0.500 0.000
Na 0.000 0.000 0.500
Na 0.500 0.000 0.000

Results
For the total magnetization, the calculation gives 1.13 Bohr magnetons per cell. The total energy comes out at -0.0404 hartree per atom.

=====

The following is a DFT calculation (PBE-GGA) of Ba5NaPd after structural relaxation.

a = 8.218 Å, b = 8.218 Å, c = 11.482 Å
α = 96.68°, β = 96.68°, γ = 95.56°
Atoms (fractional coordinates):
Ba 0.892 0.340 0.120
Ba 0.108 0.660 0.880
Ba 0.198 0.345 0.493
Ba 0.116 0.884 0.250
Ba 0.802 0.655 0.507
Ba 0.884 0.116 0.750
Ba 0.340 0.892 0.620
Ba 0.655 0.802 0.007
Ba 0.345 0.198 0.993
Ba 0.660 0.108 0.380
Pd 0.000 0.000 0.500
Pd 0.000 0.000 0.000
Na 0.562 0.438 0.750
Na 0.438 0.562 0.250

Results
For the total magnetization, the calculation gives 0.00 Bohr magnetons per cell. The total energy comes out at -0.0908 hartree per atom.

=====

The following is a DFT calculation (PBE-GGA) of Ba12NaPd5 after structural relaxation.

a = 8.192 Å, b = 8.202 Å, c = 15.336 Å
α = 84.99°, β = 79.94°, γ = 60.04°
Atoms (fractional coordinates):
Ba 0.127 0.000 0.618
Ba 0.659 0.000 0.875
Ba 0.341 0.000 0.125
Ba 0.797 0.667 0.610
Ba 0.959 0.617 0.125
Ba 0.576 0.383 0.125
Ba 0.424 0.617 0.875
Ba 0.203 0.333 0.390
Ba 0.465 0.333 0.610
Ba 0.041 0.383 0.875
Ba 0.873 0.000 0.382
Ba 0.535 0.667 0.390
Pd 0.500 0.000 0.500
Pd 0.835 0.329 0.500
Pd 0.165 0.671 0.500
Pd 0.334 0.333 0.000
Pd 0.666 0.667 0.000
Na 0.000 0.000 0.000

Results
For the total magnetization, the calculation gives 0.00 Bohr magnetons per cell. The total energy comes out at -0.1149 hartree per atom.

=====

The following is a DFT calculation (PBE-GGA) of BaNa4Pd2 after structural relaxation.

a = 4.571 Å, b = 4.597 Å, c = 9.919 Å
α = 90.00°, β = 103.56°, γ = 90.00°
Atoms (fractional coordinates):
Na 0.670 0.000 0.336
Na 0.330 0.000 0.664
Na 0.828 0.500 0.660
Na 0.172 0.500 0.340
Ba 0.000 0.000 0.000
Pd 0.570 0.500 0.138
Pd 0.430 0.500 0.862

Results
For the total magnetization, the calculation gives 0.00 Bohr magnetons per cell. The total energy comes out at -0.0988 hartree per atom.

=====

The following is a DFT calculation (PBE-GGA) of BaNaPd3 after structural relaxation.

a = 5.555 Å, b = 5.555 Å, c = 5.555 Å
α = 90.00°, β = 90.00°, γ = 90.00°
Atoms (fractional coordinates):
Pd 0.000 0.000 0.500
Pd 0.500 0.000 0.000
Pd 0.000 0.500 0.000
Ba 0.000 0.000 0.000
Na 0.500 0.500 0.500

Results
For the total magnetization, the calculation gives 0.00 Bohr magnetons per cell. The total energy comes out at -0.1125 hartree per atom.

=====

The following is a DFT calculation (PBE-GGA) of Ba8Na3Pd2 after structural relaxation.

a = 6.973 Å, b = 9.611 Å, c = 10.648 Å
α = 116.83°, β = 95.03°, γ = 90.00°
Atoms (fractional coordinates):
Ba 0.105 0.801 0.602
Ba 0.372 0.403 0.300
Ba 0.372 0.896 0.300
Ba 0.628 0.597 0.700
Ba 0.628 0.104 0.700
Ba 0.895 0.199 0.398
Ba 0.198 0.412 0.824
Ba 0.802 0.588 0.176
Pd 0.418 0.260 0.520
Pd 0.582 0.740 0.480
Na 0.000 0.163 0.000
Na 0.000 0.837 0.000
Na 0.500 0.000 0.000

Results
For the total magnetization, the calculation gives 0.00 Bohr magnetons per cell. The total energy comes out at -0.0892 hartree per atom.

=====

The following is a DFT calculation (PBE-GGA) of Ba6Na2PdPt after structural relaxation.

a = 8.964 Å, b = 8.964 Å, c = 8.964 Å
α = 120.00°, β = 120.00°, γ = 89.98°
Atoms (fractional coordinates):
Ba 0.748 0.749 0.497
Ba 0.251 0.749 0.000
Ba 0.749 0.252 0.000
Ba 0.251 0.252 0.000
Ba 0.251 0.252 0.502
Ba 0.749 0.749 0.000
Na 0.750 0.250 0.499
Na 0.250 0.750 0.499
Pd 0.000 0.000 0.000
Pt 0.500 0.500 0.000

Results
For the total magnetization, the calculation gives 0.00 Bohr magnetons per cell. The total energy comes out at -0.1054 hartree per atom.

=====

The following is a DFT calculation (PBE-GGA) of Ba6NaPdPt after structural relaxation.

a = 8.277 Å, b = 8.277 Å, c = 7.934 Å
α = 90.01°, β = 89.99°, γ = 59.98°
Atoms (fractional coordinates):
Ba 0.629 0.003 0.276
Ba 0.629 0.367 0.724
Ba 0.003 0.367 0.276
Ba 0.367 0.004 0.724
Ba 0.003 0.629 0.724
Ba 0.367 0.629 0.276
Pd 0.667 0.667 0.500
Na 0.000 0.000 0.000
Pt 0.333 0.333 0.500

Results
For the total magnetization, the calculation gives 0.00 Bohr magnetons per cell. The total energy comes out at -0.1106 hartree per atom.

=====

The following is a DFT calculation (PBE-GGA) of RbBa2NaPd after structural relaxation.

a = 6.257 Å, b = 6.257 Å, c = 6.820 Å
α = 90.00°, β = 90.00°, γ = 90.00°
Atoms (fractional coordinates):
Pd 0.000 0.000 0.000
Ba 0.000 0.500 0.000
Ba 0.500 0.000 0.000
Rb 0.000 0.000 0.500
Na 0.500 0.500 0.500

Results
For the total magnetization, the calculation gives 0.00 Bohr magnetons per cell. The total energy comes out at -0.0871 hartree per atom.

=====

The following is a DFT calculation (PBE-GGA) of RbBa2NaPd after structural relaxation.

a = 6.263 Å, b = 6.263 Å, c = 6.389 Å
α = 90.00°, β = 90.00°, γ = 90.00°
Atoms (fractional coordinates):
Ba 0.000 0.500 0.000
Ba 0.500 0.000 0.000
Rb 0.500 0.500 0.500
Pd 0.000 0.000 0.000
Na 0.000 0.000 0.500

Results
For the total magnetization, the calculation gives 0.00 Bohr magnetons per cell. The total energy comes out at -0.0877 hartree per atom.

=====

The following is a DFT calculation (PBE-GGA) of Rb2BaNaPd after structural relaxation.

a = 6.743 Å, b = 6.743 Å, c = 6.156 Å
α = 90.00°, β = 90.00°, γ = 90.00°
Atoms (fractional coordinates):
Ba 0.000 0.000 0.500
Rb 0.000 0.500 0.000
Rb 0.500 0.000 0.000
Na 0.500 0.500 0.500
Pd 0.000 0.000 0.000

Results
For the total magnetization, the calculation gives 0.48 Bohr magnetons per cell. The total energy comes out at -0.0755 hartree per atom.

=====

The following is a DFT calculation (PBE-GGA) of Ba6NaPdRh after structural relaxation.

a = 8.200 Å, b = 8.200 Å, c = 7.983 Å
α = 90.00°, β = 90.00°, γ = 59.99°
Atoms (fractional coordinates):
Ba 0.627 0.364 0.720
Ba 0.627 0.009 0.280
Ba 0.009 0.627 0.720
Ba 0.009 0.364 0.280
Ba 0.364 0.009 0.720
Ba 0.364 0.627 0.280
Rh 0.333 0.333 0.500
Na 0.000 0.000 0.000
Pd 0.667 0.667 0.500

Results
For the total magnetization, the calculation gives 0.00 Bohr magnetons per cell. The total energy comes out at -0.1110 hartree per atom.